Computed, not measured: a relaxed structure of HfOsPb2Cl at the GGA-PBE level of DFT.

a b c (Å): 5.516 4.380 5.516
angles (deg): 90.00 90.00 90.00
Atoms (fractional coordinates):
Pb1 0.000 0.000 0.500
Pb2 0.500 0.000 0.000
Os1 0.000 0.000 0.000
Hf1 0.500 0.500 0.500
Cl1 0.000 0.500 0.000

SG: No. 123
ΔE to the lowest computed polymorph in eV per atom: 0.000
Mass density in g/cm³: 10.2
Energy in eV/atom: -5.06
E_form (uncorrected) in eV/atom: 1.029